{"formula": "Ba2PtS", "functional": "meta-GGA SCAN", "state": "single point on PBEsol structure", "e_tot_ev_per_atom": -40.957, "formation_energy_uncorrected_ev_per_atom": -1.23, "total_magnetization_mub_per_atom": 0.00, "lattice_angstrom": [[-1.028, 6.839, 0.997], [0.510, -0.930, 6.906], [7.061, -1.880, -4.310]], "species": ["S", "S", "Ba", "Ba", "Ba", "Ba", "Pt", "Pt"], "frac_coords": [[0.750, 0.250, 0.500], [0.500, 0.500, 0.000], [0.375, 0.875, 0.250], [0.875, 0.375, 0.250], [0.125, 0.125, 0.750], [0.625, 0.625, 0.750], [0.250, 0.750, 0.500], [0.000, 0.000, 0.000]]}



{"formula": "LaMg2Pd", "functional": "meta-GGA SCAN", "state": "single point on PBEsol structure", "e_tot_ev_per_atom": -22.074, "total_magnetization_mub_per_atom": 0.00, "lattice_angstrom": [[-3.887, 1.845, 0.151], [-0.275, -5.603, 0.012], [0.321, 0.001, 8.253]], "species": ["Mg", "Mg", "Mg", "Mg", "Pd", "Pd", "La", "La"], "frac_coords": [[0.848, 0.695, 0.554], [0.152, 0.305, 0.446], [0.152, 0.305, 0.054], [0.848, 0.695, 0.946], [0.277, 0.554, 0.750], [0.723, 0.446, 0.250], [0.561, 0.123, 0.750], [0.439, 0.877, 0.250]]}



{"formula": "MgSi2Pt", "functional": "meta-GGA SCAN", "state": "single point on PBEsol structure", "e_tot_ev_per_atom": -23.979, "formation_energy_uncorrected_ev_per_atom": -0.18, "total_magnetization_mub_per_atom": 0.00, "lattice_angstrom": [[3.875, 0.000, 0.000], [0.000, 3.875, 0.000], [-1.937, -1.937, 3.967]], "species": ["Mg", "Pt", "Si", "Si"], "frac_coords": [[0.500, 0.500, 0.000], [0.250, 0.750, 0.500], [0.000, 0.000, 0.000], [0.750, 0.250, 0.500]]}



{"formula": "PbINO2", "functional": "meta-GGA SCAN", "state": "single point on PBEsol structure", "e_tot_ev_per_atom": -26.594, "formation_energy_uncorrected_ev_per_atom": 0.26, "total_magnetization_mub_per_atom": 0.00, "lattice_angstrom": [[-0.444, -0.731, -4.107], [-2.470, -3.282, 0.851], [-3.360, 2.508, -0.083]], "species": ["Pb", "I", "O", "O", "N"], "frac_coords": [[0.500, 0.500, 0.500], [0.000, 0.000, 0.000], [0.000, 0.500, 0.000], [0.500, 0.000, 0.000], [0.000, 0.000, 0.500]]}



{"formula": "ZrBe2Al2", "functional": "meta-GGA SCAN", "state": "single point on PBEsol structure", "e_tot_ev_per_atom": -10.982, "total_magnetization_mub_per_atom": 0.00, "lattice_angstrom": [[2.753, 0.000, 0.000], [0.000, 7.148, 0.000], [0.000, 0.000, 7.148]], "species": ["Be", "Be", "Be", "Be", "Al", "Al", "Al", "Al", "Zr", "Zr"], "frac_coords": [[0.500, 0.165, 0.665], [0.500, 0.665, 0.835], [0.500, 0.835, 0.335], [0.500, 0.335, 0.165], [0.000, 0.370, 0.870], [0.000, 0.870, 0.630], [0.000, 0.630, 0.130], [0.000, 0.130, 0.370], [0.000, 0.000, 0.000], [0.000, 0.500, 0.500]]}



{"formula": "Be4SiOs", "functional": "meta-GGA SCAN", "state": "single point on PBEsol structure", "e_tot_ev_per_atom": -16.948, "formation_energy_uncorrected_ev_per_atom": -0.40, "total_magnetization_mub_per_atom": 0.00, "lattice_angstrom": [[-3.769, 1.928, -0.235], [-2.668, -0.938, -3.159], [-3.549, -2.178, 0.799]], "species": ["Be", "Be", "Be", "Be", "Si", "Os"], "frac_coords": [[0.375, 0.375, 0.375], [0.375, 0.375, 0.875], [0.875, 0.375, 0.375], [0.375, 0.875, 0.375], [0.000, 0.000, 0.000], [0.750, 0.750, 0.750]]}



{"formula": "Zr2ScPd2", "functional": "meta-GGA SCAN", "state": "single point on PBEsol structure", "e_tot_ev_per_atom": -28.910, "total_magnetization_mub_per_atom": 0.00, "lattice_angstrom": [[-1.037, -2.662, 1.715], [-0.148, -4.068, -6.403], [7.209, -2.069, 1.148]], "species": ["Sc", "Sc", "Zr", "Zr", "Zr", "Zr", "Pd", "Pd", "Pd", "Pd"], "frac_coords": [[0.000, 0.000, 0.000], [0.000, 0.500, 0.500], [0.500, 0.171, 0.671], [0.500, 0.671, 0.829], [0.500, 0.829, 0.329], [0.500, 0.329, 0.171], [0.000, 0.373, 0.873], [0.000, 0.873, 0.627], [0.000, 0.627, 0.127], [0.000, 0.127, 0.373]]}



{"formula": "Tc2AgMo", "functional": "meta-GGA SCAN", "state": "single point on PBEsol structure", "e_tot_ev_per_atom": -33.674, "total_magnetization_mub_per_atom": 0.00, "de_polymorph_ev_per_fu": 0.35, "lattice_angstrom": [[3.881, 0.000, 0.000], [0.000, 3.881, 0.000], [-1.941, -1.941, 3.903]], "species": ["Ag", "Mo", "Tc", "Tc"], "frac_coords": [[0.500, 0.500, 0.000], [0.250, 0.750, 0.500], [0.000, 0.000, 0.000], [0.750, 0.250, 0.500]]}